Record 1
## CdHg2ClF (PBE)

Data for an optimized crystal structure of CdHg2ClF.

## Properties
SG: No. 123
Mass density in g/cm³: 6.87
Raw total energy in eV/atom: -1.513
Uncorrected formation energy in eV/atom: -0.466

Cell lengths 5.666, 5.666, 4.275 Å; angles 90.00, 90.00, 90.00 degrees
Fractional positions:
Cd 0.000 0.000 0.000
Hg 0.000 0.500 0.500
Hg 0.500 0.000 0.500
Cl 0.500 0.500 0.000
F 0.000 0.000 0.500

---

Record 2
## CdInCl2F (PBE)

Data for an optimized crystal structure of CdInCl2F.

## Properties
SG: No. 123
Mass density in g/cm³: 4.22
Raw total energy in eV/atom: -3.115
Uncorrected formation energy in eV/atom: -1.271

Cell lengths 5.339, 5.339, 4.382 Å; angles 90.00, 90.00, 90.00 degrees
Fractional positions:
Cd 0.000 0.000 0.000
In 0.500 0.500 0.500
Cl 0.000 0.500 0.000
Cl 0.500 0.000 0.000
F 0.000 0.000 0.500

---

Record 3
## CdInClF2 (PBE)

Data for an optimized crystal structure of CdInClF2.

## Properties
SG: No. 123
Mass density in g/cm³: 4.62
Raw total energy in eV/atom: -3.430
Uncorrected formation energy in eV/atom: -1.581

Cell lengths 4.500, 4.500, 5.332 Å; angles 90.00, 90.00, 90.00 degrees
Fractional positions:
Cd 0.000 0.000 0.000
In 0.500 0.500 0.500
Cl 0.000 0.000 0.500
F 0.000 0.500 0.000
F 0.500 0.000 0.000

---

Record 4
## CdInCl2F (PBE)

Data for an optimized crystal structure of CdInCl2F.

## Properties
SG: No. 108
Mass density in g/cm³: 4.21
Raw total energy in eV/atom: -3.115
Uncorrected formation energy in eV/atom: -1.272

Cell lengths 6.910, 6.910, 6.910 Å; angles 113.80, 113.80, 101.12 degrees
Fractional positions:
Cd 0.000 0.000 0.000
Cd 0.500 0.500 0.000
In 0.249 0.749 0.500
In 0.749 0.249 0.500
Cl 0.233 0.733 0.966
Cl 0.267 0.233 0.500
Cl 0.733 0.767 0.500
Cl 0.767 0.267 0.034
F 0.250 0.250 0.000
F 0.750 0.750 0.000

---

Record 5
## CdIn2Cl2F2 (PBE)

Data for an optimized crystal structure of CdIn2Cl2F2.

## Properties
SG: No. 12
Mass density in g/cm³: 4.18
Raw total energy in eV/atom: -3.419
Uncorrected formation energy in eV/atom: -1.443

Cell lengths 13.361, 3.854, 7.477 Å; angles 90.00, 111.31, 90.00 degrees
Fractional positions:
Cd 0.000 0.000 0.000
Cd 0.500 0.500 0.000
In 0.210 0.000 0.742
In 0.290 0.500 0.258
In 0.710 0.500 0.742
In 0.790 0.000 0.258
Cl 0.029 0.500 0.255
Cl 0.471 0.000 0.745
Cl 0.529 0.000 0.255
Cl 0.971 0.500 0.745
F 0.184 0.000 0.054
F 0.316 0.500 0.946
F 0.684 0.500 0.054
F 0.816 0.000 0.946

---

Record 6
## K3Cd2Cl2F5 (PBE)

Data for an optimized crystal structure of K3Cd2Cl2F5.

## Properties
SG: No. 139
Mass density in g/cm³: 3.36
Raw total energy in eV/atom: -3.755
Uncorrected formation energy in eV/atom: -2.240

Cell lengths 12.658, 12.658, 12.658 Å; angles 159.41, 159.41, 29.28 degrees
Fractional positions:
K 0.000 0.000 0.000
K 0.171 0.171 0.000
K 0.829 0.829 0.000
Cd 0.409 0.409 0.000
Cd 0.591 0.591 0.000
Cl 0.304 0.304 0.000
Cl 0.696 0.696 0.000
F 0.087 0.587 0.500
F 0.413 0.913 0.500
F 0.500 0.500 0.000
F 0.587 0.087 0.500
F 0.913 0.413 0.500